Entry 1:
A relaxed structure of CsGaSn, computed with GGA-PBE.

Cell: 17.360 5.554 6.048 Å, 90.00 90.00 90.00°
Space group Pnma (No. 62)
Inequivalent atoms, fractional coordinates:
Cs1 0.138 0.250 0.003 [4 per cell]
Ga1 0.000 0.000 0.500 [4 per cell]
Sn1 0.128 0.750 0.504 [4 per cell]

The calculated formation energy comes out at -0.0625 eV per atom.

***

Entry 2:
A relaxed structure of CsGaSnTe3, computed with GGA-PBE.

Cell: 10.413 4.606 11.055 Å, 90.00 110.60 90.00°
Space group P2_1/m (No. 11)
Inequivalent atoms, fractional coordinates:
Cs1 0.218 0.250 0.244 [2 per cell]
Ga1 0.080 0.250 0.626 [2 per cell]
Sn1 0.341 0.750 0.879 [2 per cell]
Te1 0.111 0.250 0.868 [2 per cell]
Te2 0.182 0.750 0.551 [2 per cell]
Te3 0.473 0.750 0.162 [2 per cell]

***

Entry 3:
A relaxed structure of Cs2GaSnTe4, computed with GGA-PBE.

Cell: 6.978 15.745 26.726 Å, 90.00 90.00 90.00°
Space group Fddd (No. 70, origin choice 2)
Inequivalent atoms, fractional coordinates:
Cs1 0.125 0.125 0.309 [16 per cell]
Ga1 0.125 0.125 0.625 [8 per cell]
Sn1 0.125 0.125 0.125 [8 per cell]
Te1 0.102 0.278 0.816 [32 per cell]

***

Entry 4:
A relaxed structure of CsGaSnTe4, computed with GGA-PBE.

Cell: 9.005 6.446 10.015 Å, 90.00 97.81 90.00°
Space group P2_1/m (No. 11)
Inequivalent atoms, fractional coordinates:
Cs1 0.234 0.250 0.025 [2 per cell]
Ga1 0.229 0.750 0.348 [2 per cell]
Sn1 0.355 0.250 0.583 [2 per cell]
Te1 0.003 0.514 0.682 [4 per cell]
Te2 0.390 0.750 0.588 [2 per cell]
Te3 0.417 0.750 0.171 [2 per cell]

***

Entry 5:
A relaxed structure of Cs2TlGa3Sn4, computed with GGA-PBE.

Cell: 5.179 5.179 11.558 Å, 90.00 90.00 90.00°
Space group P-4m2 (No. 115)
Inequivalent atoms, fractional coordinates:
Cs1 0.000 0.500 0.249 [2 per cell]
Tl1 0.500 0.500 0.000 [1 per cell]
Ga1 0.000 0.000 0.000 [1 per cell]
Ga2 0.000 0.500 0.620 [2 per cell]
Sn1 0.000 0.000 0.500 [1 per cell]
Sn2 0.000 0.500 0.866 [2 per cell]
Sn3 0.500 0.500 0.500 [1 per cell]

The calculated formation energy comes out at -0.1211 eV per atom.

***

Entry 6:
A relaxed structure of CsTl2GaSn, computed with GGA-PBE.

Cell: 5.856 5.856 5.563 Å, 90.00 90.00 90.00°
Space group P4/mmm (No. 123)
Inequivalent atoms, fractional coordinates:
Cs1 0.000 0.000 0.000 [1 per cell]
Tl1 0.000 0.500 0.500 [2 per cell]
Ga1 0.500 0.500 0.500 [1 per cell]
Sn1 0.500 0.500 0.000 [1 per cell]

The calculated formation energy comes out at 0.0685 eV per atom.

***

Number 1: raw total energy -32.283 eV for the cell shown. Number 2: raw total energy -41.007 eV for the cell shown. Number 3: raw total energy -210.038 eV for the cell shown. Number 4: raw total energy -46.584 eV for the cell shown. Number 5: raw total energy -30.376 eV for the cell shown. Number 6: raw total energy -12.273 eV for the cell shown.